Hf3HgH: relaxed, GGA-PBE.

a b c (Å): 11.736 11.736 11.736
angles (deg): 90.00 90.00 90.00
Space group Fd-3m (No. 227, origin choice 2)
Inequivalent atoms, fractional coordinates:
Hf  0.067  0.375  0.375
Hg  0.000  0.000  0.500
H  0.000  0.000  0.000

Values from the calculation:
total DFT energy (no corrections)	-6.477	eV per atom
distance to the lowest polymorph of the same formula	408	meV/atom
total magnetic moment	0.000	μB/atom
calculated volume	1616	Å³ per cell

***

Hf3HgH: relaxed, GGA-PBE.

a b c (Å): 5.6579 5.6579 21.1683
angles (deg): 90.00 90.00 120.00
Space group R-3 (No. 148, hexagonal axes)
Inequivalent atoms, fractional coordinates:
Hf  0.0023  0.3457  0.2769
Hg  0.0000  0.0000  0.1682
H  0.0000  0.0000  0.3355

Values from the calculation:
total DFT energy (no corrections)	-6.704	eV per atom
distance to the lowest polymorph of the same formula	181	meV/atom
total magnetic moment	0.000	μB/atom
calculated volume	587	Å³ per cell

***

Hf3HgH: relaxed, GGA-PBE.

a b c (Å): 7.8231 7.8231 9.9806
angles (deg): 90.00 90.00 120.00
Space group R-3c (No. 167, hexagonal axes)
Inequivalent atoms, fractional coordinates:
Hf  0.0000  0.2478  0.2500
Hg  0.0000  0.0000  0.0000
H  0.0000  0.0000  0.2500

Values from the calculation:
total DFT energy (no corrections)	-6.797	eV per atom
distance to the lowest polymorph of the same formula	88	meV/atom
total magnetic moment	0.000	μB/atom
calculated volume	529	Å³ per cell

***

Hf2Hg2H: relaxed, GGA-PBE.

a b c (Å): 6.016 6.016 5.163
angles (deg): 90.00 90.00 90.00
Space group P4/mbm (No. 127)
Inequivalent atoms, fractional coordinates:
Hf  0.168  0.332  0.000
Hg  0.169  0.669  0.500
H  0.000  0.000  0.000

Values from the calculation:
total DFT energy (no corrections)	-4.778	eV per atom
total magnetic moment	0.000	μB/atom
calculated volume	187	Å³ per cell

***

Hf3HgH: relaxed, GGA-PBE.

a b c (Å): 4.9194 4.9194 8.6554
angles (deg): 90.00 90.00 120.00
Space group P6_3/mmc (No. 194)
Inequivalent atoms, fractional coordinates:
Hf  0.0000  0.0000  0.2500
Hf  0.3333  0.6667  0.0833
Hg  0.3333  0.6667  0.7500
H  0.0000  0.0000  0.0000

Values from the calculation:
total DFT energy (no corrections)	-6.515	eV per atom
distance to the lowest polymorph of the same formula	370	meV/atom
total magnetic moment	0.000	μB/atom
calculated volume	181	Å³ per cell

***

Hf3HgH: relaxed, GGA-PBE.

a b c (Å): 5.320 5.637 6.552
angles (deg): 106.65 90.17 107.46
Space group P1 (No. 1)
Inequivalent atoms, fractional coordinates:
Hf  0.000  0.000  0.000
Hf  0.001  0.002  0.502
Hf  0.253  0.516  0.384
Hf  0.258  0.520  0.876
Hf  0.745  0.482  0.627
Hf  0.750  0.486  0.119
Hg  0.500  0.001  0.251
Hg  0.500  0.001  0.751
H  0.338  0.353  0.089
H  0.665  0.649  0.413

Values from the calculation:
total DFT energy (no corrections)	-6.832	eV per atom
distance to the lowest polymorph of the same formula	53	meV/atom
total magnetic moment	0.000	μB/atom
calculated volume	179	Å³ per cell

***

Hf3HgH: relaxed, GGA-PBE.

a b c (Å): 5.777 10.333 6.189
angles (deg): 90.00 90.00 90.00
Space group Cmcm (No. 63)
Inequivalent atoms, fractional coordinates:
Hf  0.000  0.000  0.000
Hf  0.250  0.241  0.250
Hg  0.000  0.491  0.250
H  0.000  0.121  0.750

Values from the calculation:
total DFT energy (no corrections)	-6.678	eV per atom
distance to the lowest polymorph of the same formula	207	meV/atom
total magnetic moment	0.000	μB/atom
calculated volume	369	Å³ per cell

***

Hf3HgH: relaxed, GGA-PBE.

a b c (Å): 11.979 4.527 7.129
angles (deg): 90.00 104.79 90.00
Space group C2/m (No. 12)
Inequivalent atoms, fractional coordinates:
Hf  0.103  0.000  0.188
Hf  0.166  0.500  0.512
Hf  0.223  0.000  0.841
Hg  0.055  0.500  0.836
H  0.163  0.000  0.512

Values from the calculation:
total DFT energy (no corrections)	-6.754	eV per atom
distance to the lowest polymorph of the same formula	130	meV/atom
total magnetic moment	0.000	μB/atom
calculated volume	374	Å³ per cell

***

Hf3HgH: relaxed, GGA-PBE.

a b c (Å): 9.1858 9.1858 3.8393
angles (deg): 90.00 90.00 120.00
Space group R3m (No. 160, hexagonal axes)
Inequivalent atoms, fractional coordinates:
Hf  0.1960  0.3920  0.0000
Hg  0.0000  0.0000  0.8474
H  0.0000  0.0000  0.3614

Values from the calculation:
total DFT energy (no corrections)	-6.429	eV per atom
distance to the lowest polymorph of the same formula	456	meV/atom
total magnetic moment	0.000	μB/atom
calculated volume	281	Å³ per cell

***

Hf3HgH: relaxed, GGA-PBE.

a b c (Å): 3.054 6.084 14.373
angles (deg): 90.00 90.00 90.00
Space group Amm2 (No. 38)
Inequivalent atoms, fractional coordinates:
Hf  0.000  0.000  0.000
Hf  0.500  0.247  0.359
Hg  0.500  0.000  0.180
H  0.000  0.000  0.854

Values from the calculation:
total DFT energy (no corrections)	-6.126	eV per atom
distance to the lowest polymorph of the same formula	759	meV/atom
total magnetic moment	0.000	μB/atom
calculated volume	267	Å³ per cell

***

HfHg2H: relaxed, GGA-PBE.

a b c (Å): 9.012 9.012 3.784
angles (deg): 90.00 90.00 90.00
Space group I-42d (No. 122)
Inequivalent atoms, fractional coordinates:
Hf  0.000  0.000  0.000
Hg  0.128  0.250  0.625
H  0.000  0.000  0.500

Values from the calculation:
total DFT energy (no corrections)	-3.237	eV per atom
distance to the lowest polymorph of the same formula	0	meV/atom
total magnetic moment	0.000	μB/atom
calculated volume	307	Å³ per cell

***

Hf3HgH: relaxed, GGA-PBE.

a b c (Å): 5.107 5.107 21.100
angles (deg): 90.00 90.00 90.00
Space group I-4m2 (No. 119)
Inequivalent atoms, fractional coordinates:
Hf  0.000  0.000  0.192
Hf  0.000  0.254  0.627
Hg  0.000  0.000  0.500
Hg  0.000  0.500  0.750
H  0.000  0.500  0.154

Values from the calculation:
total DFT energy (no corrections)	-5.598	eV per atom
distance to the lowest polymorph of the same formula	1287	meV/atom
total magnetic moment	0.000	μB/atom
calculated volume	550	Å³ per cell

***

Hf3HgH: relaxed, GGA-PBE.

a b c (Å): 5.801 15.440 5.274
angles (deg): 90.00 90.00 90.00
Space group Cmcm (No. 63)
Inequivalent atoms, fractional coordinates:
Hf  0.000  0.000  0.000
Hf  0.246  0.170  0.250
Hg  0.000  0.167  0.750
H  0.000  0.418  0.750

Values from the calculation:
total DFT energy (no corrections)	-6.129	eV per atom
distance to the lowest polymorph of the same formula	756	meV/atom
total magnetic moment	0.000	μB/atom
calculated volume	472	Å³ per cell

***

HfHg3H: relaxed, GGA-PBE.

a b c (Å): 4.498 4.498 4.498
angles (deg): 90.00 90.00 90.00
Space group Pm-3m (No. 221)
Inequivalent atoms, fractional coordinates:
Hf  0.000  0.000  0.000
Hg  0.000  0.500  0.500
H  0.500  0.500  0.500

Values from the calculation:
total DFT energy (no corrections)	-2.367	eV per atom
distance to the lowest polymorph of the same formula	0	meV/atom
total magnetic moment	0.000	μB/atom
calculated volume	91	Å³ per cell

***

Hf3HgH: relaxed, GGA-PBE.

a b c (Å): 6.493 4.085 6.596
angles (deg): 90.00 90.00 90.00
Space group Pmma (No. 51)
Inequivalent atoms, fractional coordinates:
Hf  0.001  0.000  0.243
Hf  0.250  0.500  0.500
Hg  0.250  0.500  0.999
H  0.250  0.000  0.447

Values from the calculation:
total DFT energy (no corrections)	-6.849	eV per atom
distance to the lowest polymorph of the same formula	36	meV/atom
total magnetic moment	0.000	μB/atom
calculated volume	175	Å³ per cell

***

Hf3HgH: relaxed, GGA-PBE.

a b c (Å): 7.846 5.500 10.500
angles (deg): 90.00 127.48 90.00
Space group P2_1/c (No. 14)
Inequivalent atoms, fractional coordinates:
Hf  0.042  0.154  0.347
Hf  0.213  0.650  0.515
Hf  0.290  0.185  0.738
Hg  0.458  0.693  0.889
H  0.081  0.156  0.024

Values from the calculation:
total DFT energy (no corrections)	-6.769	eV per atom
distance to the lowest polymorph of the same formula	116	meV/atom
total magnetic moment	0.000	μB/atom
calculated volume	360	Å³ per cell

***

Hf3HgH: relaxed, GGA-PBE.

a b c (Å): 4.317 4.317 9.370
angles (deg): 90.00 90.00 90.00
Space group I4mm (No. 107)
Inequivalent atoms, fractional coordinates:
Hf  0.000  0.000  0.000
Hf  0.000  0.500  0.251
Hg  0.000  0.000  0.496
H  0.000  0.000  0.786

Values from the calculation:
total DFT energy (no corrections)	-6.872	eV per atom
distance to the lowest polymorph of the same formula	13	meV/atom
total magnetic moment	0.000	μB/atom
calculated volume	175	Å³ per cell

***

HfHgH: relaxed, GGA-PBE.

a b c (Å): 4.473 4.471 9.007
angles (deg): 90.00 90.04 90.00
Space group C2/m (No. 12)
Inequivalent atoms, fractional coordinates:
Hf  0.249  0.000  0.354
Hg  0.249  0.500  0.124
H  0.000  0.250  0.500

Values from the calculation:
total DFT energy (no corrections)	-4.749	eV per atom
distance to the lowest polymorph of the same formula	54	meV/atom
total magnetic moment	0.000	μB/atom
calculated volume	180	Å³ per cell

***

Hf6HgH: relaxed, GGA-PBE.

a b c (Å): 5.450 5.502 5.575
angles (deg): 102.11 104.73 97.18
Space group P-1 (No. 2)
Inequivalent atoms, fractional coordinates:
Hf  0.087  0.261  0.174
Hf  0.248  0.824  0.411
Hf  0.309  0.396  0.745
Hg  0.500  0.000  0.000
H  0.500  0.500  0.500

Values from the calculation:
total DFT energy (no corrections)	-7.915	eV per atom
total magnetic moment	0.000	μB/atom
calculated volume	155	Å³ per cell

***

Hf3HgH: relaxed, GGA-PBE.

a b c (Å): 5.204 6.033 5.593
angles (deg): 90.00 90.39 90.00
Space group P2_1/m (No. 11)
Inequivalent atoms, fractional coordinates:
Hf  0.245  0.000  0.354
Hf  0.248  0.250  0.860
Hg  0.248  0.750  0.853
H  0.470  0.250  0.566

Values from the calculation:
total DFT energy (no corrections)	-6.818	eV per atom
distance to the lowest polymorph of the same formula	67	meV/atom
total magnetic moment	0.000	μB/atom
calculated volume	176	Å³ per cell

***

Hf3HgH: relaxed, GGA-PBE.

a b c (Å): 13.144 9.405 6.357
angles (deg): 90.00 104.02 90.00
Space group C2/c (No. 15)
Inequivalent atoms, fractional coordinates:
Hf  0.005  0.207  0.493
Hf  0.143  0.003  0.325
Hf  0.178  0.343  0.332
Hg  0.172  0.348  0.839
H  0.000  0.090  0.750
H  0.000  0.356  0.250

Values from the calculation:
total DFT energy (no corrections)	-6.731	eV per atom
distance to the lowest polymorph of the same formula	154	meV/atom
total magnetic moment	0.000	μB/atom
calculated volume	763	Å³ per cell